# 1
# BaLa2Ni PBE optimized geometry
# Offset from the most stable computed form   6 meV/atom
# Formation enthalpy at 0 K   -0.4 eV/f.u.
# Crystal system   trigonal
data_BaLa2Ni
_space_group_name_H-M_alt 'R -3 m'
_space_group_IT_number 166
_space_group_name_Hall '-R 3 2"'
_cell_length_a 4.1738
_cell_length_b 4.1738
_cell_length_c 30.2516
_cell_angle_alpha 90.00
_cell_angle_beta 90.00
_cell_angle_gamma 120.00
loop_
_atom_site_label
_atom_site_type_symbol
_atom_site_fract_x
_atom_site_fract_y
_atom_site_fract_z
Ba1 Ba 0.0000 0.0000 0.0000
La1 La 0.0000 0.0000 0.2168
Ni1 Ni 0.0000 0.0000 0.5000

---

# 2
# NiAgRh3 PBE optimized geometry
# Offset from the most stable computed form   1023 meV/atom
# Formation enthalpy at 0 K   10.5 eV/f.u.
# Crystal system   cubic
data_NiAgRh3
_space_group_name_H-M_alt 'P m -3 m'
_space_group_IT_number 221
_space_group_name_Hall '-P 4 2 3'
_cell_length_a 4.791
_cell_length_b 4.791
_cell_length_c 4.791
_cell_angle_alpha 90.00
_cell_angle_beta 90.00
_cell_angle_gamma 90.00
loop_
_atom_site_label
_atom_site_type_symbol
_atom_site_fract_x
_atom_site_fract_y
_atom_site_fract_z
Ni1 Ni 0.000 0.000 0.000
Ag1 Ag 0.500 0.500 0.500
Rh1 Rh 0.000 0.500 0.500

---

# 3
# LaDy2Ho PBE optimized geometry
# Offset from the most stable computed form   17 meV/atom
# Formation enthalpy at 0 K   0.1 eV/f.u.
# Crystal system   orthorhombic
data_LaDy2Ho
_space_group_name_H-M_alt 'P m m n'
_space_group_IT_number 59
_cell_length_a 3.617
_cell_length_b 11.668
_cell_length_c 6.217
_cell_angle_alpha 90.00
_cell_angle_beta 90.00
_cell_angle_gamma 90.00
loop_
_space_group_symop_operation_xyz
'x,y,z'
'-x,-y,-z'
'-x+1/2,-y+1/2,z'
'x+1/2,y+1/2,-z'
'x+1/2,-y,-z'
'-x+1/2,y,z'
'-x,y+1/2,-z'
'x,-y+1/2,z'
loop_
_atom_site_label
_atom_site_type_symbol
_atom_site_fract_x
_atom_site_fract_y
_atom_site_fract_z
La1 La 0.250 0.250 0.084
Dy1 Dy 0.250 0.004 0.748
Ho1 Ho 0.250 0.750 0.421

---

# 4
# Rb2TlPbCl6 PBE optimized geometry
# Uncorrected formation energy   -1338 meV/atom
# Offset from the most stable computed form   30 meV/atom
# Crystal system   tetragonal
data_Rb2TlPbCl6
_space_group_name_H-M_alt 'I 4/m m m'
_space_group_IT_number 139
_space_group_name_Hall '-I 4 2'
_cell_length_a 7.975
_cell_length_b 7.975
_cell_length_c 11.254
_cell_angle_alpha 90.00
_cell_angle_beta 90.00
_cell_angle_gamma 90.00
loop_
_atom_site_label
_atom_site_type_symbol
_atom_site_fract_x
_atom_site_fract_y
_atom_site_fract_z
Rb1 Rb 0.000 0.500 0.250
Tl1 Tl 0.000 0.000 0.000
Pb1 Pb 0.000 0.000 0.500
Cl1 Cl 0.000 0.000 0.251
Cl2 Cl 0.249 0.249 0.500

---

Question: What is the offset from the most stable computed form in the first record?
Answer: 6 meV/atom

---

Question: Number 1 is which compound?
Answer: BaLa2Ni

---

Question: Which of these has the lowest offset from the most stable computed form?
Answer: BaLa2Ni

---

Question: Which of these has the highest offset from the most stable computed form?
Answer: NiAgRh3